Record 1
K2Pm2SiO6 | PBE-GGA | relaxed

abc: 5.8365 9.9311 6.5629
angles: 90.00 103.79 90.00
Space group C2/m (No. 12)
Asymmetric unit:
K (0.0000, 0.1553, 0.0000)
Pm (0.0000, 0.3351, 0.5000)
Si (0.0000, 0.0000, 0.5000)
O (0.1804, 0.1393, 0.6619)
O (0.2166, 0.0000, 0.3362)

Formation energy (no corrections): -2505 meV per atom
DOS(E_F): 0.00 states/eV/f.u.

***

Record 2
Ho2Cd6In | PBE-GGA | relaxed

abc: 8.7653 8.7653 9.8071
angles: 90.00 90.00 120.00
Space group R-3m (No. 166, hexagonal axes)
Asymmetric unit:
Ho (0.0000, 0.0000, 0.1720)
Cd (0.0000, 0.3322, 0.0000)
In (0.0000, 0.0000, 0.5000)

DFT formation energy: -186 kJ/mol of formula units
DOS(E_F): 5.57 states/eV/f.u.

***

Record 3
Ga2SnSb | PBE-GGA | relaxed

abc: 3.9158 3.9158 26.4720
angles: 90.00 90.00 120.00
Space group R-3m (No. 166, hexagonal axes)
Asymmetric unit:
Ga (0.0000, 0.0000, 0.1047)
Sn (0.0000, 0.0000, 0.0000)
Sb (0.0000, 0.0000, 0.5000)

Formation energy (no corrections): 215 meV per atom
DOS(E_F): 1.82 states/eV/f.u.

***

Record 4
ScNbGa2 | PBE-GGA | relaxed

abc: 3.4889 3.4889 5.8247
angles: 90.00 90.00 90.00
Space group P4/mmm (No. 123)
Asymmetric unit:
Sc (0.0000, 0.0000, 0.0000)
Nb (0.0000, 0.0000, 0.5000)
Ga (0.5000, 0.5000, 0.2699)

DFT formation energy: -144 kJ/mol of formula units
DOS(E_F): 1.60 states/eV/f.u.